1.
# Cd2PdBr

An optimized crystal structure of Cd2PdBr (PBE-GGA, Alexandria via LeMat-Bulk).

Values from the calculation:
E above lowest polymorph = 0.194 eV/atom
formation energy without anion corrections = 0.16 eV per atom
total energy = -32.23 eV for the cell shown
density of states at the Fermi level = 1.106 states/eV per atom

Cell: 7.066 7.066 7.066 Å, 90.00 90.00 90.00°
Element x y z (fractional)
Cd 0.250 0.250 0.250
Cd 0.250 0.250 0.750
Cd 0.250 0.750 0.250
Cd 0.250 0.750 0.750
Cd 0.750 0.250 0.250
Cd 0.750 0.250 0.750
Cd 0.750 0.750 0.250
Cd 0.750 0.750 0.750
Pd 0.000 0.000 0.000
Pd 0.000 0.500 0.500
Pd 0.500 0.000 0.500
Pd 0.500 0.500 0.000
Br 0.000 0.000 0.500
Br 0.000 0.500 0.000
Br 0.500 0.000 0.000
Br 0.500 0.500 0.500



2.
# CsPu2Cl5

An optimized crystal structure of CsPu2Cl5 (PBE-GGA, Alexandria via LeMat-Bulk).

Values from the calculation:
formation energy without anion corrections = -1.82 eV per atom
total energy = -106.66 eV for the cell shown
density of states at the Fermi level = 3.094 states/eV per atom

Cell: 4.347 7.245 15.123 Å, 90.00 90.00 90.00°
Element x y z (fractional)
Cs 0.000 0.000 0.000
Cs 0.500 0.500 0.500
Pu 0.000 0.500 0.188
Pu 0.000 0.500 0.812
Pu 0.500 0.000 0.312
Pu 0.500 0.000 0.688
Cl 0.000 0.259 0.343
Cl 0.000 0.259 0.657
Cl 0.000 0.500 0.000
Cl 0.000 0.741 0.343
Cl 0.000 0.741 0.657
Cl 0.500 0.000 0.500
Cl 0.500 0.241 0.157
Cl 0.500 0.241 0.843
Cl 0.500 0.759 0.157
Cl 0.500 0.759 0.843